LaNdNi2Ge4: relaxed, GGA-PBE.

Summary:
E in eV per atom: -5.678

a b c (Å): 4.256 4.277 16.870
angles (deg): 90.00 90.00 90.00
Space group Amm2 (No. 38)
Symmetry-distinct sites (fractional):
1 La 0.000 0.000 0.000 [2 per cell]
2 Nd 0.500 0.000 0.216 [2 per cell]
3 Ni 0.000 0.000 0.789 [2 per cell]
4 Ni 0.500 0.000 0.426 [2 per cell]
5 Ge 0.000 0.000 0.358 [2 per cell]
6 Ge 0.000 0.000 0.651 [2 per cell]
7 Ge 0.500 0.000 0.566 [2 per cell]
8 Ge 0.500 0.000 0.857 [2 per cell]



FeCuBiPb: relaxed, GGA-PBE.

Summary:
Distance to the lowest polymorph of the same formula in eV per atom: 0.000
E in eV per atom: -4.442

a b c (Å): 6.926 6.926 6.926
angles (deg): 90.00 90.00 90.00
Space group F-43m (No. 216)
Symmetry-distinct sites (fractional):
1 Fe 0.000 0.000 0.000 [4 per cell]
2 Cu 0.000 0.000 0.500 [4 per cell]
3 Bi 0.250 0.250 0.250 [4 per cell]
4 Pb 0.250 0.250 0.750 [4 per cell]



SrTmGa4Pt2: relaxed, GGA-PBE.

Summary:
E in eV per atom: -4.579

a b c (Å): 6.917 4.387 10.340
angles (deg): 90.00 90.00 90.00
Space group Amm2 (No. 38)
Symmetry-distinct sites (fractional):
1 Sr 0.000 0.000 0.000 [2 per cell]
2 Tm 0.500 0.000 0.840 [2 per cell]
3 Ga 0.201 0.000 0.286 [4 per cell]
4 Ga 0.310 0.000 0.558 [4 per cell]
5 Pt 0.000 0.000 0.715 [2 per cell]
6 Pt 0.500 0.000 0.127 [2 per cell]



ZnAgSn2: relaxed, GGA-PBE.

Summary:
E in eV per atom: -2.858

a b c (Å): 7.150 7.150 7.150
angles (deg): 90.00 90.00 90.00
Space group F-43m (No. 216)
Symmetry-distinct sites (fractional):
1 Zn 0.000 0.000 0.000 [4 per cell]
2 Ag 0.250 0.250 0.250 [4 per cell]
3 Sn 0.000 0.000 0.500 [4 per cell]
4 Sn 0.250 0.250 0.750 [4 per cell]



LiYCoSb: relaxed, GGA-PBE.

Summary:
Distance to the lowest polymorph of the same formula in eV per atom: 0.347
E in eV per atom: -5.073

a b c (Å): 6.631 6.631 6.631
angles (deg): 90.00 90.00 90.00
Space group F-43m (No. 216)
Symmetry-distinct sites (fractional):
1 Li 0.000 0.000 0.000 [4 per cell]
2 Y 0.250 0.250 0.250 [4 per cell]
3 Co 0.250 0.250 0.750 [4 per cell]
4 Sb 0.000 0.000 0.500 [4 per cell]



Pm2Au2O5: relaxed, GGA-PBE.

Summary:
Distance to the lowest polymorph of the same formula in eV per atom: 0.000
E in eV per atom: -5.907

a b c (Å): 4.192 4.192 7.108
angles (deg): 90.00 90.00 90.00
Space group P4/mmm (No. 123)
Symmetry-distinct sites (fractional):
1 Pm 0.000 0.000 0.000 [1 per cell]
2 Pm 0.000 0.000 0.500 [1 per cell]
3 Au 0.500 0.500 0.193 [2 per cell]
4 O 0.000 0.500 0.226 [4 per cell]
5 O 0.500 0.500 0.500 [1 per cell]



NdHoIn2Pt4: relaxed, GGA-PBE.

Summary:
E in eV per atom: -5.820

a b c (Å): 4.6021 4.6021 9.1557
angles (deg): 90.00 90.00 120.00
Space group P-6m2 (No. 187)
Symmetry-distinct sites (fractional):
1 Nd 0.0000 0.0000 0.0000 [1 per cell]
2 Ho 0.3333 0.6667 0.5000 [1 per cell]
3 In 0.6667 0.3333 0.2537 [2 per cell]
4 Pt 0.0000 0.0000 0.3462 [2 per cell]
5 Pt 0.3333 0.6667 0.1664 [2 per cell]



Gd3SbO7: relaxed, GGA-PBE.

Summary:
E in eV per atom: -7.755

a b c (Å): 7.473 10.591 7.531
angles (deg): 90.00 90.00 90.00
Space group Cmcm (No. 63)
Symmetry-distinct sites (fractional):
1 Gd 0.000 0.000 0.000 [4 per cell]
2 Gd 0.234 0.266 0.250 [8 per cell]
3 Sb 0.000 0.500 0.000 [4 per cell]
4 O 0.000 0.130 0.750 [4 per cell]
5 O 0.000 0.136 0.250 [4 per cell]
6 O 0.000 0.431 0.250 [4 per cell]
7 O 0.196 0.376 0.530 [16 per cell]



TbLuCu: relaxed, GGA-PBE.

Summary:
E_form in eV per atom: 0.67
E in eV per atom: -3.617

a b c (Å): 6.672 6.672 6.672
angles (deg): 90.00 90.00 90.00
Space group F-43m (No. 216)
Symmetry-distinct sites (fractional):
1 Tb 0.000 0.000 0.000 [4 per cell]
2 Lu 0.250 0.250 0.750 [4 per cell]
3 Cu 0.000 0.000 0.500 [4 per cell]



KNaAsAu: relaxed, GGA-PBE.

Summary:
Distance to the lowest polymorph of the same formula in eV per atom: 0.306
E in eV per atom: -2.770

a b c (Å): 7.157 7.157 7.157
angles (deg): 90.00 90.00 90.00
Space group F-43m (No. 216)
Symmetry-distinct sites (fractional):
1 K 0.000 0.000 0.000 [4 per cell]
2 Na 0.250 0.250 0.750 [4 per cell]
3 As 0.000 0.000 0.500 [4 per cell]
4 Au 0.250 0.250 0.250 [4 per cell]



Hf4ZnC3: relaxed, GGA-PBE.

Summary:
E in eV per atom: -9.365

a b c (Å): 3.2891 3.2891 24.8438
angles (deg): 90.00 90.00 120.00
Space group P6_3/mmc (No. 194)
Symmetry-distinct sites (fractional):
1 Hf 0.0000 0.0000 0.1575 [4 per cell]
2 Hf 0.3333 0.6667 0.0524 [4 per cell]
3 Zn 0.3333 0.6667 0.2500 [2 per cell]
4 C 0.0000 0.0000 0.0000 [2 per cell]
5 C 0.3333 0.6667 0.6103 [4 per cell]



ErPO4: relaxed, GGA-PBE.

Summary:
E in eV per atom: -7.924

a b c (Å): 5.357 8.019 7.182
angles (deg): 90.00 90.00 90.00
Space group Cmcm (No. 63)
Symmetry-distinct sites (fractional):
1 Er 0.000 0.000 0.000 [4 per cell]
2 P 0.000 0.365 0.250 [4 per cell]
3 O 0.000 0.265 0.069 [8 per cell]
4 O 0.240 0.477 0.250 [8 per cell]



LaCoSi: relaxed, GGA-PBE.

Summary:
E in eV per atom: -6.507

a b c (Å): 4.059 4.059 7.104
angles (deg): 90.00 90.00 90.00
Space group P4/nmm (No. 129, origin choice 2)
Symmetry-distinct sites (fractional):
1 La 0.250 0.250 0.183 [2 per cell]
2 Co 0.250 0.750 0.500 [2 per cell]
3 Si 0.250 0.250 0.665 [2 per cell]



La3PrN2Cl2: relaxed, GGA-PBE.

Summary:
E in eV per atom: -6.585

a b c (Å): 3.7277 3.7277 14.3873
angles (deg): 90.00 90.00 120.00
Space group P3m1 (No. 156)
Symmetry-distinct sites (fractional):
1 La 0.0000 0.0000 0.0000 [1 per cell]
2 La 0.0000 0.0000 0.3106 [1 per cell]
3 La 0.3333 0.6667 0.8092 [1 per cell]
4 Pr 0.3333 0.6667 0.4998 [1 per cell]
5 N 0.6667 0.3333 0.4055 [1 per cell]
6 N 0.6667 0.3333 0.9043 [1 per cell]
7 Cl 0.0000 0.0000 0.6511 [1 per cell]
8 Cl 0.3333 0.6667 0.1553 [1 per cell]



Lu3SeS2: relaxed, GGA-PBE.

Summary:
E in eV per atom: -5.994

a b c (Å): 3.8616 3.8616 9.4648
angles (deg): 90.00 90.00 120.00
Space group P-3m1 (No. 164)
Symmetry-distinct sites (fractional):
1 Lu 0.0000 0.0000 0.0000 [1 per cell]
2 Lu 0.3333 0.6667 0.6850 [2 per cell]
3 Se 0.0000 0.0000 0.5000 [1 per cell]
4 S 0.3333 0.6667 0.1605 [2 per cell]



Be2AsPt2: relaxed, GGA-PBE.

Summary:
E in eV per atom: -5.246

a b c (Å): 6.998 6.998 2.734
angles (deg): 90.00 90.00 90.00
Space group P4/mbm (No. 127)
Symmetry-distinct sites (fractional):
1 Be 0.130 0.370 0.000 [4 per cell]
2 As 0.000 0.000 0.500 [2 per cell]
3 Pt 0.159 0.659 0.500 [4 per cell]



PrGaPd2: relaxed, GGA-PBE.

Summary:
E in eV per atom: -5.387

a b c (Å): 7.618 7.175 5.794
angles (deg): 90.00 90.00 90.00
Space group Pnma (No. 62)
Symmetry-distinct sites (fractional):
1 Pr 0.034 0.250 0.148 [4 per cell]
2 Ga 0.119 0.750 0.351 [4 per cell]
3 Pd 0.178 0.054 0.588 [8 per cell]



ThAg2Pd8: relaxed, GGA-PBE.

Summary:
E_form in eV per atom: -0.42
E in eV per atom: -5.369

a b c (Å): 14.546 4.157 6.345
angles (deg): 90.00 104.63 90.00
Space group C2/m (No. 12)
Symmetry-distinct sites (fractional):
1 Th 0.000 0.000 0.000 [2 per cell]
2 Ag 0.228 0.500 0.639 [4 per cell]
3 Pd 0.046 0.500 0.721 [4 per cell]
4 Pd 0.091 0.000 0.461 [4 per cell]
5 Pd 0.138 0.500 0.185 [4 per cell]
6 Pd 0.183 0.000 0.910 [4 per cell]



Sn3Sb2Pt2: relaxed, GGA-PBE.

Summary:
E in eV per atom: -4.864

a b c (Å): 4.4695 4.4695 29.3302
angles (deg): 90.00 90.00 120.00
Space group R3m (No. 160, hexagonal axes)
Symmetry-distinct sites (fractional):
1 Sn 0.0000 0.0000 0.0000 [3 per cell]
2 Sn 0.0000 0.0000 0.2615 [3 per cell]
3 Sn 0.0000 0.0000 0.7261 [3 per cell]
4 Sb 0.0000 0.0000 0.4549 [3 per cell]
5 Sb 0.0000 0.0000 0.8613 [3 per cell]
6 Pt 0.0000 0.0000 0.1628 [3 per cell]
7 Pt 0.0000 0.0000 0.6312 [3 per cell]



Li4YTcO6: relaxed, GGA-PBE.

Summary:
E in eV per atom: -6.626

a b c (Å): 5.345 9.295 5.193
angles (deg): 90.00 109.60 90.00
Space group C2 (No. 5)
Symmetry-distinct sites (fractional):
1 Li 0.000 0.000 0.000 [2 per cell]
2 Li 0.000 0.150 0.500 [2 per cell]
3 Li 0.000 0.309 0.000 [2 per cell]
4 Li 0.000 0.627 0.000 [2 per cell]
5 Y 0.000 0.813 0.500 [2 per cell]
6 Tc 0.000 0.482 0.500 [2 per cell]
7 O 0.225 0.331 0.741 [4 per cell]
8 O 0.228 0.487 0.268 [4 per cell]
9 O 0.237 0.634 0.744 [4 per cell]